[1]
# Na3Tl4I8 PBE relaxed
data_Na3Tl4I8
_symmetry_space_group_name_H-M 'C 1 2/m 1'
_symmetry_Int_Tables_number 12
_symmetry_space_group_name_Hall '-C 2y'
_cell_length_a 13.440
_cell_length_b 13.494
_cell_length_c 9.513
_cell_angle_alpha 90.00
_cell_angle_beta 134.34
_cell_angle_gamma 90.00
loop_
_atom_site_label
_atom_site_fract_x
_atom_site_fract_y
_atom_site_fract_z
Na1 0.000 0.000 0.000
Na2 0.250 0.250 0.000
Tl1 0.000 0.000 0.500
Tl2 0.000 0.500 0.000
Tl3 0.250 0.250 0.500
I1 0.000 0.242 0.000
I2 0.000 0.253 0.500
I3 0.238 0.000 0.996
I4 0.245 0.000 0.481
# - M_tot (Bohr magnetons per cell) = 0.0
# - DFT total energy (eV per atom) = -2.54
# - crystal system = monoclinic
# - density of states at the Fermi level (states/eV per atom) = 0.549



[2]
# Na2TlI2 PBE relaxed
data_Na2TlI2
_symmetry_space_group_name_H-M 'P 4/m b m'
_symmetry_Int_Tables_number 127
_symmetry_space_group_name_Hall '-P 4 2ab'
_cell_length_a 9.197
_cell_length_b 9.197
_cell_length_c 4.120
_cell_angle_alpha 90.00
_cell_angle_beta 90.00
_cell_angle_gamma 90.00
loop_
_atom_site_label
_atom_site_fract_x
_atom_site_fract_y
_atom_site_fract_z
Na1 0.152 0.348 0.000
Tl1 0.000 0.000 0.500
I1 0.152 0.652 0.500
# - ΔE to the lowest computed polymorph (kJ per mole of atoms) = 0.0
# - M_tot (Bohr magnetons per cell) = 0.0
# - DFT total energy (eV per atom) = -2.38
# - crystal system = tetragonal
# - density of states at the Fermi level (states/eV per atom) = 0.333



[3]
# Na3TlI6 PBE relaxed
data_Na3TlI6
_symmetry_space_group_name_H-M 'F m -3 m'
_symmetry_Int_Tables_number 225
_symmetry_space_group_name_Hall '-F 4 2 3'
_cell_length_a 12.177
_cell_length_b 12.177
_cell_length_c 12.177
_cell_angle_alpha 90.00
_cell_angle_beta 90.00
_cell_angle_gamma 90.00
loop_
_atom_site_label
_atom_site_fract_x
_atom_site_fract_y
_atom_site_fract_z
Na1 0.000 0.000 0.000
Na2 0.250 0.250 0.250
Tl1 0.000 0.000 0.500
I1 0.000 0.000 0.254
# - M_tot (Bohr magnetons per cell) = 0.0
# - DFT total energy (eV per atom) = -2.20
# - crystal system = cubic
# - density of states at the Fermi level (states/eV per atom) = 0.388



[4]
# NaTl3I PBE relaxed
data_NaTl3I
_symmetry_space_group_name_H-M 'P m -3 m'
_symmetry_Int_Tables_number 221
_symmetry_space_group_name_Hall '-P 4 2 3'
_cell_length_a 5.827
_cell_length_b 5.827
_cell_length_c 5.827
_cell_angle_alpha 90.00
_cell_angle_beta 90.00
_cell_angle_gamma 90.00
loop_
_atom_site_label
_atom_site_fract_x
_atom_site_fract_y
_atom_site_fract_z
Na1 0.000 0.000 0.000
Tl1 0.000 0.000 0.500
I1 0.500 0.500 0.500
# - ΔE to the lowest computed polymorph (kJ per mole of atoms) = 0.0
# - M_tot (Bohr magnetons per cell) = 0.0
# - DFT total energy (eV per atom) = -1.92
# - crystal system = cubic
# - density of states at the Fermi level (states/eV per atom) = 0.721



[5]
# NaTl4I5 PBE relaxed
data_NaTl4I5
_symmetry_space_group_name_H-M 'I m m m'
_symmetry_Int_Tables_number 71
_symmetry_space_group_name_Hall '-I 2 2'
_cell_length_a 4.875
_cell_length_b 7.017
_cell_length_c 24.924
_cell_angle_alpha 90.00
_cell_angle_beta 90.00
_cell_angle_gamma 90.00
loop_
_atom_site_label
_atom_site_fract_x
_atom_site_fract_y
_atom_site_fract_z
Na1 0.000 0.000 0.000
Tl1 0.000 0.000 0.195
Tl2 0.000 0.000 0.401
I1 0.000 0.500 0.000
I2 0.000 0.500 0.203
I3 0.000 0.500 0.411
# - ΔE to the lowest computed polymorph (kJ per mole of atoms) = 0.0
# - M_tot (Bohr magnetons per cell) = 0.0
# - DFT total energy (eV per atom) = -2.63
# - crystal system = orthorhombic
# - density of states at the Fermi level (states/eV per atom) = 0.000



[6]
# NaTl2I2 PBE relaxed
data_NaTl2I2
_symmetry_space_group_name_H-M 'P 4/m b m'
_symmetry_Int_Tables_number 127
_symmetry_space_group_name_Hall '-P 4 2ab'
_cell_length_a 8.406
_cell_length_b 8.406
_cell_length_c 5.514
_cell_angle_alpha 90.00
_cell_angle_beta 90.00
_cell_angle_gamma 90.00
loop_
_atom_site_label
_atom_site_fract_x
_atom_site_fract_y
_atom_site_fract_z
Na1 0.000 0.000 0.000
Tl1 0.148 0.352 0.500
I1 0.173 0.673 0.000
# - ΔE to the lowest computed polymorph (kJ per mole of atoms) = 3.0
# - M_tot (Bohr magnetons per cell) = 0.0
# - DFT total energy (eV per atom) = -2.37
# - crystal system = tetragonal
# - density of states at the Fermi level (states/eV per atom) = 0.570



[7]
# NaTl3I PBE relaxed
data_NaTl3I
_symmetry_space_group_name_H-M 'P m -3 m'
_symmetry_Int_Tables_number 221
_symmetry_space_group_name_Hall '-P 4 2 3'
_cell_length_a 6.434
_cell_length_b 6.434
_cell_length_c 6.434
_cell_angle_alpha 90.00
_cell_angle_beta 90.00
_cell_angle_gamma 90.00
loop_
_atom_site_label
_atom_site_fract_x
_atom_site_fract_y
_atom_site_fract_z
Na1 0.000 0.000 0.000
Tl1 0.000 0.500 0.500
I1 0.500 0.500 0.500
# - ΔE to the lowest computed polymorph (kJ per mole of atoms) = 3.0
# - M_tot (Bohr magnetons per cell) = 0.0
# - DFT total energy (eV per atom) = -1.89
# - crystal system = cubic
# - density of states at the Fermi level (states/eV per atom) = 0.523



[8]
# Na3TlI PBE relaxed
data_Na3TlI
_symmetry_space_group_name_H-M 'P m -3 m'
_symmetry_Int_Tables_number 221
_symmetry_space_group_name_Hall '-P 4 2 3'
_cell_length_a 5.972
_cell_length_b 5.972
_cell_length_c 5.972
_cell_angle_alpha 90.00
_cell_angle_beta 90.00
_cell_angle_gamma 90.00
loop_
_atom_site_label
_atom_site_fract_x
_atom_site_fract_y
_atom_site_fract_z
Na1 0.000 0.000 0.500
Tl1 0.500 0.500 0.500
I1 0.000 0.000 0.000
# - ΔE to the lowest computed polymorph (kJ per mole of atoms) = 0.0
# - M_tot (Bohr magnetons per cell) = 0.0
# - DFT total energy (eV per atom) = -1.81
# - crystal system = cubic
# - density of states at the Fermi level (states/eV per atom) = 0.615



[9]
# NaTl2I2 PBE relaxed
data_NaTl2I2
_symmetry_space_group_name_H-M 'I 4/m m m'
_symmetry_Int_Tables_number 139
_symmetry_space_group_name_Hall '-I 4 2'
_cell_length_a 4.455
_cell_length_b 4.455
_cell_length_c 19.382
_cell_angle_alpha 90.00
_cell_angle_beta 90.00
_cell_angle_gamma 90.00
loop_
_atom_site_label
_atom_site_fract_x
_atom_site_fract_y
_atom_site_fract_z
Na1 0.000 0.000 0.000
Tl1 0.000 0.500 0.250
I1 0.000 0.000 0.401
# - ΔE to the lowest computed polymorph (kJ per mole of atoms) = 0.0
# - M_tot (Bohr magnetons per cell) = 0.0
# - DFT total energy (eV per atom) = -2.40
# - crystal system = tetragonal
# - density of states at the Fermi level (states/eV per atom) = 0.191



[10]
# NaTmTl2I6 PBE relaxed
data_NaTmTl2I6
_symmetry_space_group_name_H-M 'R 3'
_symmetry_Int_Tables_number 146
_symmetry_space_group_name_Hall 'R 3'
_cell_length_a 8.4533
_cell_length_b 8.4533
_cell_length_c 21.3349
_cell_angle_alpha 90.00
_cell_angle_beta 90.00
_cell_angle_gamma 120.00
loop_
_atom_site_label
_atom_site_fract_x
_atom_site_fract_y
_atom_site_fract_z
Na1 0.0000 0.0000 0.0000
Tm1 0.0000 0.0000 0.4947
Tl1 0.0000 0.0000 0.2882
Tl2 0.0000 0.0000 0.7953
I1 0.0112 0.4111 0.2400
I2 0.0767 0.7187 0.0767
# - M_tot (Bohr magnetons per cell) = 0.0
# - DFT total energy (eV per atom) = -3.04
# - crystal system = trigonal
# - density of states at the Fermi level (states/eV per atom) = 0.000



Energy relative to the elements, uncorrected readings, ordered: -0.81 -0.76 -0.64 0.07 -0.78 -0.54 0.11 -0.24 -0.57 -1.06 eV/atom